CoNiHg2 | PBEsol | optimized geometry

For the total energy, the calculation gives -13.6 eV/f.u. Its formation enthalpy at 0 K is 1.4 eV per formula unit. As for the excess energy over the best structure of this formula in the dataset: 0.000 eV/f.u.

The structure belongs to space group Pm (No. 6); the cell edges are 2.905, 4.185 and 5.214 Å and the angles 90.00°, 104.83° and 90.00°. The distinct sites, in fractional coordinates, are Co at (0.000, 0.000, 0.000), Ni at (0.875, 0.500, 0.731), Hg at (0.289, 0.000, 0.548) and Hg at (0.587, 0.500, 0.182).